[1]
Here is CuPb3N after structural relaxation from Alexandria via LeMat-Bulk. Energies are from GGA-PBE.

Values from the calculation:
- energy (eV/atom) = -3.47
- uncorrected formation energy (meV/atom) = 1240
- offset from the most stable computed form (meV per atom) = 500

Cell: 5.109 5.109 5.109 Å, 90.00 90.00 90.00°
Space group Pm-3m (No. 221)
One atom of each set of equivalent atoms:
1 Cu 0.000 0.000 0.000 (multiplicity 1)
2 Pb 0.000 0.000 0.500 (multiplicity 3)
3 N 0.500 0.500 0.500 (multiplicity 1)

=====

[2]
Here is Cu2RhPbN after structural relaxation from Alexandria via LeMat-Bulk. Energies are from GGA-PBE.

Values from the calculation:
- energy (eV/atom) = -5.17
- uncorrected formation energy (meV/atom) = 345

Cell: 4.008 4.008 4.449 Å, 90.00 90.00 90.00°
Space group P4/mmm (No. 123)
One atom of each set of equivalent atoms:
1 Cu 0.000 0.500 0.000 (multiplicity 2)
2 Rh 0.000 0.000 0.500 (multiplicity 1)
3 Pb 0.500 0.500 0.500 (multiplicity 1)
4 N 0.000 0.000 0.000 (multiplicity 1)

=====

[3]
Here is CuPbSN2 after structural relaxation from Alexandria via LeMat-Bulk. Energies are from GGA-PBE.

Values from the calculation:
- energy (eV/atom) = -4.50
- uncorrected formation energy (meV/atom) = 1216
- offset from the most stable computed form (meV per atom) = 0

Cell: 4.017 4.017 4.916 Å, 90.00 90.00 90.00°
Space group P4/mmm (No. 123)
One atom of each set of equivalent atoms:
1 Cu 0.000 0.000 0.000 (multiplicity 1)
2 Pb 0.500 0.500 0.500 (multiplicity 1)
3 S 0.000 0.000 0.500 (multiplicity 1)
4 N 0.000 0.500 0.000 (multiplicity 2)

=====

[4]
Here is CuPbSN2 after structural relaxation from Alexandria via LeMat-Bulk. Energies are from GGA-PBE.

Values from the calculation:
- energy (eV/atom) = -3.85
- uncorrected formation energy (meV/atom) = 1870
- offset from the most stable computed form (meV per atom) = 654

Cell: 4.321 4.321 5.473 Å, 90.00 90.00 90.00°
Space group P4/mmm (No. 123)
One atom of each set of equivalent atoms:
1 Cu 0.000 0.000 0.000 (multiplicity 1)
2 Pb 0.500 0.500 0.500 (multiplicity 1)
3 S 0.500 0.500 0.000 (multiplicity 1)
4 N 0.000 0.500 0.500 (multiplicity 2)

=====

[5]
Here is CuPbSe2N after structural relaxation from Alexandria via LeMat-Bulk. Energies are from GGA-PBE.

Values from the calculation:
- energy (eV/atom) = -4.09
- uncorrected formation energy (meV/atom) = 535
- offset from the most stable computed form (meV per atom) = 0

Cell: 5.219 5.219 3.681 Å, 90.00 90.00 90.00°
Space group P4/mmm (No. 123)
One atom of each set of equivalent atoms:
1 Cu 0.000 0.000 0.000 (multiplicity 1)
2 Pb 0.500 0.500 0.500 (multiplicity 1)
3 Se 0.000 0.500 0.000 (multiplicity 2)
4 N 0.000 0.000 0.500 (multiplicity 1)

=====

[6]
Here is CuPbSeN2 after structural relaxation from Alexandria via LeMat-Bulk. Energies are from GGA-PBE.

Values from the calculation:
- energy (eV/atom) = -3.75
- uncorrected formation energy (meV/atom) = 1837

Cell: 4.185 4.185 5.581 Å, 90.00 90.00 90.00°
Space group P4/mmm (No. 123)
One atom of each set of equivalent atoms:
1 Cu 0.000 0.000 0.000 (multiplicity 1)
2 Pb 0.500 0.500 0.500 (multiplicity 1)
3 Se 0.500 0.500 0.000 (multiplicity 1)
4 N 0.000 0.500 0.500 (multiplicity 2)

=====

[7]
Here is CuPbSe2N after structural relaxation from Alexandria via LeMat-Bulk. Energies are from GGA-PBE.

Values from the calculation:
- energy (eV/atom) = -3.29
- uncorrected formation energy (meV/atom) = 1330
- offset from the most stable computed form (meV per atom) = 796

Cell: 5.497 5.497 4.316 Å, 90.00 90.00 90.00°
Space group P4/mmm (No. 123)
One atom of each set of equivalent atoms:
1 Cu 0.000 0.000 0.000 (multiplicity 1)
2 Pb 0.500 0.500 0.500 (multiplicity 1)
3 Se 0.000 0.500 0.500 (multiplicity 2)
4 N 0.500 0.500 0.000 (multiplicity 1)

=====

[8]
Here is SrCuPb2N after structural relaxation from Alexandria via LeMat-Bulk. Energies are from GGA-PBE.

Values from the calculation:
- energy (eV/atom) = -4.02
- uncorrected formation energy (meV/atom) = 282

Cell: 4.973 4.973 5.002 Å, 90.00 90.00 90.00°
Space group P4/mmm (No. 123)
One atom of each set of equivalent atoms:
1 Sr 0.000 0.000 0.000 (multiplicity 1)
2 Cu 0.500 0.500 0.000 (multiplicity 1)
3 Pb 0.000 0.500 0.500 (multiplicity 2)
4 N 0.000 0.000 0.500 (multiplicity 1)

=====

[9]
Here is TaCuPbN2 after structural relaxation from Alexandria via LeMat-Bulk. Energies are from GGA-PBE.

Values from the calculation:
- energy (eV/atom) = -4.99
- uncorrected formation energy (meV/atom) = 2273

Cell: 4.218 4.218 4.789 Å, 90.00 90.00 90.00°
Space group P4/mmm (No. 123)
One atom of each set of equivalent atoms:
1 Ta 0.000 0.000 0.000 (multiplicity 1)
2 Cu 0.500 0.500 0.000 (multiplicity 1)
3 Pb 0.500 0.500 0.500 (multiplicity 1)
4 N 0.000 0.500 0.500 (multiplicity 2)

=====

[10]
Here is CuTe2PbN after structural relaxation from Alexandria via LeMat-Bulk. Energies are from GGA-PBE.

Values from the calculation:
- energy (eV/atom) = -3.91
- uncorrected formation energy (meV/atom) = 576
- offset from the most stable computed form (meV per atom) = 0

Cell: 5.551 5.551 3.647 Å, 90.00 90.00 90.00°
Space group P4/mmm (No. 123)
One atom of each set of equivalent atoms:
1 Cu 0.000 0.000 0.000 (multiplicity 1)
2 Te 0.000 0.500 0.000 (multiplicity 2)
3 Pb 0.500 0.500 0.500 (multiplicity 1)
4 N 0.000 0.000 0.500 (multiplicity 1)

=====

[11]
Here is CuTe2PbN after structural relaxation from Alexandria via LeMat-Bulk. Energies are from GGA-PBE.

Values from the calculation:
- energy (eV/atom) = -3.11
- uncorrected formation energy (meV/atom) = 1368
- offset from the most stable computed form (meV per atom) = 793

Cell: 5.872 5.872 4.168 Å, 90.00 90.00 90.00°
Space group P4/mmm (No. 123)
One atom of each set of equivalent atoms:
1 Cu 0.000 0.000 0.000 (multiplicity 1)
2 Te 0.000 0.500 0.500 (multiplicity 2)
3 Pb 0.500 0.500 0.500 (multiplicity 1)
4 N 0.500 0.500 0.000 (multiplicity 1)

=====

[12]
Here is CuPdN3 after structural relaxation from Alexandria via LeMat-Bulk. Energies are from GGA-PBE.

Values from the calculation:
- energy (eV/atom) = -4.52
- uncorrected formation energy (meV/atom) = 2331

Cell: 3.904 3.904 3.904 Å, 90.00 90.00 90.00°
Space group Pm-3m (No. 221)
One atom of each set of equivalent atoms:
1 Cu 0.000 0.000 0.000 (multiplicity 1)
2 Pd 0.500 0.500 0.500 (multiplicity 1)
3 N 0.000 0.500 0.500 (multiplicity 3)

=====

[13]
Here is CuPd2N after structural relaxation from Alexandria via LeMat-Bulk. Energies are from GGA-PBE.

Values from the calculation:
- energy (eV/atom) = -4.98
- uncorrected formation energy (meV/atom) = 723

Cell: 5.059 5.059 10.493 Å, 90.00 90.00 90.00°
Space group I-42d (No. 122)
One atom of each set of equivalent atoms:
1 Cu 0.000 0.000 0.000 (multiplicity 4)
2 Pd 0.144 0.250 0.625 (multiplicity 8)
3 N 0.000 0.000 0.500 (multiplicity 4)

=====

[14]
Here is CuPdN3 after structural relaxation from Alexandria via LeMat-Bulk. Energies are from GGA-PBE.

Values from the calculation:
- energy (eV/atom) = -4.74
- uncorrected formation energy (meV/atom) = 2116

Cell: 3.730 3.730 3.730 Å, 90.00 90.00 90.00°
Space group Pm-3m (No. 221)
One atom of each set of equivalent atoms:
1 Cu 0.000 0.000 0.000 (multiplicity 1)
2 Pd 0.500 0.500 0.500 (multiplicity 1)
3 N 0.000 0.000 0.500 (multiplicity 3)

=====

[15]
Here is Cu2PdN after structural relaxation from Alexandria via LeMat-Bulk. Energies are from GGA-PBE.

Values from the calculation:
- energy (eV/atom) = -4.84
- uncorrected formation energy (meV/atom) = 585

Cell: 4.635 4.635 11.019 Å, 90.00 90.00 90.00°
Space group I-42d (No. 122)
One atom of each set of equivalent atoms:
1 Cu 0.036 0.250 0.125 (multiplicity 8)
2 Pd 0.000 0.000 0.500 (multiplicity 4)
3 N 0.000 0.000 0.000 (multiplicity 4)

=====

[16]
Here is PrCuPdN after structural relaxation from Alexandria via LeMat-Bulk. Energies are from GGA-PBE.

Values from the calculation:
- energy (eV/atom) = -6.22
- uncorrected formation energy (meV/atom) = -624

Cell: 3.785 3.785 9.347 Å, 90.00 90.00 90.00°
Space group P4/nmm (No. 129, origin choice 2)
One atom of each set of equivalent atoms:
1 Pr 0.250 0.250 0.138 (multiplicity 2)
2 Cu 0.250 0.250 0.686 (multiplicity 2)
3 Pd 0.250 0.750 0.500 (multiplicity 2)
4 N 0.250 0.250 0.887 (multiplicity 2)

=====

[17]
Here is Cu2PdRhN after structural relaxation from Alexandria via LeMat-Bulk. Energies are from GGA-PBE.

Values from the calculation:
- energy (eV/atom) = -5.63
- uncorrected formation energy (meV/atom) = 182

Cell: 3.965 3.965 3.949 Å, 90.00 90.00 90.00°
Space group P4/mmm (No. 123)
One atom of each set of equivalent atoms:
1 Cu 0.000 0.500 0.000 (multiplicity 2)
2 Pd 0.000 0.000 0.500 (multiplicity 1)
3 Rh 0.500 0.500 0.500 (multiplicity 1)
4 N 0.500 0.500 0.000 (multiplicity 1)

=====

[18]
Here is CuPdS2N after structural relaxation from Alexandria via LeMat-Bulk. Energies are from GGA-PBE.

Values from the calculation:
- energy (eV/atom) = -4.09
- uncorrected formation energy (meV/atom) = 1084
- offset from the most stable computed form (meV per atom) = 44

Cell: 4.892 4.892 3.671 Å, 90.00 90.00 90.00°
Space group P4/mmm (No. 123)
One atom of each set of equivalent atoms:
1 Cu 0.000 0.000 0.000 (multiplicity 1)
2 Pd 0.500 0.500 0.500 (multiplicity 1)
3 S 0.000 0.500 0.500 (multiplicity 2)
4 N 0.500 0.500 0.000 (multiplicity 1)

=====

[19]
Here is CuPdS2N after structural relaxation from Alexandria via LeMat-Bulk. Energies are from GGA-PBE.

Values from the calculation:
- energy (eV/atom) = -4.13
- uncorrected formation energy (meV/atom) = 1040
- offset from the most stable computed form (meV per atom) = 0

Cell: 4.672 4.672 3.555 Å, 90.00 90.00 90.00°
Space group P4/mmm (No. 123)
One atom of each set of equivalent atoms:
1 Cu 0.000 0.000 0.000 (multiplicity 1)
2 Pd 0.500 0.500 0.500 (multiplicity 1)
3 S 0.000 0.500 0.000 (multiplicity 2)
4 N 0.000 0.000 0.500 (multiplicity 1)

=====

[20]
Here is CuPdSN2 after structural relaxation from Alexandria via LeMat-Bulk. Energies are from GGA-PBE.

Values from the calculation:
- energy (eV/atom) = -4.48
- uncorrected formation energy (meV/atom) = 1531
- offset from the most stable computed form (meV per atom) = 23

Cell: 3.878 3.878 5.257 Å, 90.00 90.00 90.00°
Space group P4/mmm (No. 123)
One atom of each set of equivalent atoms:
1 Cu 0.000 0.000 0.000 (multiplicity 1)
2 Pd 0.500 0.500 0.500 (multiplicity 1)
3 S 0.500 0.500 0.000 (multiplicity 1)
4 N 0.000 0.500 0.500 (multiplicity 2)

=====

The records above yield mass density values of 8.70; 10.48; 6.93; 5.38; 7.33; 6.42; 5.64; 7.78; 9.35; 7.98; 6.24; 5.91; 7.18; 6.79; 6.95; 8.06; 9.37; 4.69; 5.31; 4.83 Mg/m³, respectively.
The records above yield Fermi-level density of states values of 0.709; 0.222; 0.261; 0.371; 0.705; 0.424; 0.915; 0.651; 0.710; 0.735; 1.074; 1.150; 0.062; 0.684; 0.526; 0.225; 0.821; 1.040; 0.944; 0.574 states/eV/atom, respectively.